## Tb3Dy5Ho4 (GGA-PBE)

Data for a relaxed structure of Tb3Dy5Ho4.

Calculated values
DOS at the Fermi energy ... 15.1 states/eV per cell
Magnetization ... 0.00 μB/atom
ΔE to the lowest computed polymorph ... 0 meV per atom

CIF file:
```
data_Tb3Dy5Ho4
_symmetry_space_group_name_H-M 'P -1'
_symmetry_Int_Tables_number 2
_cell_length_a 6.118
_cell_length_b 7.066
_cell_length_c 8.645
_cell_angle_alpha 90.04
_cell_angle_beta 90.12
_cell_angle_gamma 90.14
loop_
_symmetry_equiv_pos_as_xyz
'x,y,z'
'-x,-y,-z'
loop_
_atom_site_label
_atom_site_type_symbol
_atom_site_fract_x
_atom_site_fract_y
_atom_site_fract_z
_atom_site_occupancy
Tb1 Tb 0.000 0.000 0.000 1
Tb2 Tb 0.166 0.750 0.666 1
Dy1 Dy 0.000 0.500 0.000 1
Dy2 Dy 0.333 0.000 0.334 1
Dy3 Dy 0.500 0.250 0.000 1
Ho1 Ho 0.167 0.250 0.666 1
Ho2 Ho 0.333 0.500 0.334 1
```

## Th2Ge4Rh3 (GGA-PBE)

Data for a relaxed structure of Th2Ge4Rh3.

Calculated values
DOS at the Fermi energy ... 19.3 states/eV per cell
Magnetization ... 0.00 μB/atom
Electronic total energy ... -62.61 eV/f.u.

CIF file:
```
data_Th2Ge4Rh3
_symmetry_space_group_name_H-M 'C m c e'
_symmetry_Int_Tables_number 64
_symmetry_space_group_name_Hall '-C 2ac 2'
_cell_length_a 5.837
_cell_length_b 15.074
_cell_length_c 7.610
_cell_angle_alpha 90.00
_cell_angle_beta 90.00
_cell_angle_gamma 90.00
loop_
_atom_site_label
_atom_site_type_symbol
_atom_site_fract_x
_atom_site_fract_y
_atom_site_fract_z
_atom_site_occupancy
Th1 Th 0.000 0.112 0.090 1
Ge1 Ge 0.000 0.181 0.479 1
Ge2 Ge 0.250 0.058 0.750 1
Rh1 Rh 0.000 0.000 0.500 1
Rh2 Rh 0.250 0.226 0.750 1
```

## Th2MnAg (GGA-PBE)

Data for a relaxed structure of Th2MnAg.

Calculated values
DOS at the Fermi energy ... 4.0 states/eV per cell
Magnetization ... 0.00 μB/atom
ΔE to the lowest computed polymorph ... 0 meV per atom

CIF file:
```
data_Th2MnAg
_symmetry_space_group_name_H-M 'P 4/m m m'
_symmetry_Int_Tables_number 123
_symmetry_space_group_name_Hall '-P 4 2'
_cell_length_a 3.407
_cell_length_b 3.407
_cell_length_c 8.122
_cell_angle_alpha 90.00
_cell_angle_beta 90.00
_cell_angle_gamma 90.00
loop_
_atom_site_label
_atom_site_type_symbol
_atom_site_fract_x
_atom_site_fract_y
_atom_site_fract_z
_atom_site_occupancy
Th1 Th 0.000 0.000 0.216 1
Mn1 Mn 0.500 0.500 0.000 1
Ag1 Ag 0.500 0.500 0.500 1
```